! TlGe2Se4, optimized geometry, DFT PBE-GGA; values from VASP
! E_form (uncorrected) ... -0.28 eV per atom
! SG ... No. 66
&SYSTEM
  ibrav = 0, nat = 14, ntyp = 3
/
ATOMIC_SPECIES
Tl 204.38 Tl.upf
Ge 72.64 Ge.upf
Se 78.96 Se.upf
CELL_PARAMETERS angstrom
-3.476 5.497 -1.141
0.091 -5.105 -4.187
-9.188 -4.669 5.493
ATOMIC_POSITIONS angstrom
Tl -3.989 -0.971 -1.291
Tl -8.583 -3.305 1.455
Ge -0.788 -2.489 -3.434
Ge -2.597 2.882 -1.895
Ge -5.384 -4.824 -0.691
Ge -7.188 0.547 0.855
Se -2.212 -0.619 -4.226
Se -1.173 1.012 -1.102
Se -5.154 -3.145 1.120
Se -7.419 -1.131 -0.956
Se -4.831 1.177 1.279
Se -1.455 -3.315 -1.197
Se -7.832 -0.348 3.073
Se -7.642 -6.459 2.502